[1]
CdPt7 | GGA-PBE | relaxed

Computed properties:
magnetic moment = 0.00 μB/f.u.
calculated formation energy = -113 meV per atom

a b c (Å): 5.662 5.662 5.662
angles (deg): 60.00 60.00 60.00
Fractional positions:
Cd (0.000, 0.000, 0.000)
Pt (0.000, 0.000, 0.500)
Pt (0.000, 0.500, 0.000)
Pt (0.000, 0.500, 0.500)
Pt (0.500, 0.000, 0.000)
Pt (0.500, 0.000, 0.500)
Pt (0.500, 0.500, 0.000)
Pt (0.500, 0.500, 0.500)

***

[2]
CdPt15 | GGA-PBE | relaxed

Computed properties:
magnetic moment = 0.07 μB/f.u.
calculated formation energy = 37 meV per atom

a b c (Å): 5.578 2.806 45.401
angles (deg): 90.00 90.00 90.00
Fractional positions:
Cd (0.125, 0.250, 0.336)
Cd (0.875, 0.750, 0.664)
Pt (0.122, 0.250, 0.713)
Pt (0.124, 0.250, 0.802)
Pt (0.125, 0.250, 0.066)
Pt (0.125, 0.250, 0.154)
Pt (0.125, 0.250, 0.243)
Pt (0.125, 0.250, 0.890)
Pt (0.125, 0.250, 0.978)
Pt (0.372, 0.750, 0.287)
Pt (0.374, 0.750, 0.198)
Pt (0.375, 0.750, 0.022)
Pt (0.375, 0.750, 0.110)
Pt (0.375, 0.750, 0.671)
Pt (0.375, 0.750, 0.758)
Pt (0.375, 0.750, 0.846)
Pt (0.375, 0.750, 0.934)
Pt (0.625, 0.250, 0.066)
Pt (0.625, 0.250, 0.154)
Pt (0.625, 0.250, 0.242)
Pt (0.625, 0.250, 0.329)
Pt (0.625, 0.250, 0.890)
Pt (0.625, 0.250, 0.978)
Pt (0.626, 0.250, 0.802)
Pt (0.628, 0.250, 0.713)
Pt (0.875, 0.750, 0.022)
Pt (0.875, 0.750, 0.110)
Pt (0.875, 0.750, 0.757)
Pt (0.875, 0.750, 0.846)
Pt (0.875, 0.750, 0.934)
Pt (0.876, 0.750, 0.198)
Pt (0.878, 0.750, 0.287)